Computed, not measured: an optimized crystal structure of KYOs3 at the PBE-GGA level of DFT.

The structure in extended XYZ format:
```
5
Lattice="-4.037 -1.066 -2.071 -1.440 -2.114 3.896 -1.830 4.015 1.501" Properties=species:S:1:pos:R:3 pbc="T T T"
Os -0.720 -1.057 1.948
Os -0.915 2.007 0.751
K 0.000 0.000 0.000
Y -3.654 0.417 1.663
Os -2.018 -0.533 -1.035
```

## Properties
Energy relative to the lowest polymorph listed for this composition ... 5.75 kcal/mol of atoms
Energy of formation from the pure elements ... 2.88 eV/atom